A relaxed structure of GeP2Rh2. Source: Alexandria, functional PBE.

Lattice parameters (Å, degrees): 7.3193 7.3193 2.8355 90.00 90.00 90.00
Atoms (fractional coordinates):
Ge  0.0000  0.0000  0.0000
Ge  0.5000  0.5000  0.0000
P  0.1434  0.3566  0.0000
P  0.3566  0.8566  0.0000
P  0.6434  0.1434  0.0000
P  0.8566  0.6434  0.0000
Rh  0.1348  0.6348  0.5000
Rh  0.3652  0.1348  0.5000
Rh  0.6348  0.8652  0.5000
Rh  0.8652  0.3652  0.5000

Output
- offset from the most stable computed form (meV per atom) = 289.5
- Fermi-level density of states (states/eV per atom) = 0.69
- energy relative to the elements (meV/atom) = -65
- total DFT energy (no corrections) (eV/cell) = -60.926
- theoretical density (Mg/m³) = 7.44